An optimized crystal structure of BaV2F. Source: Alexandria via LeMat-Bulk, functional PBE+U.

The structure in POSCAR format:
```
BaV2F
1.0
0.0000 3.7861 3.7861
3.7861 0.0000 3.7861
3.7861 3.7861 0.0000
Ba V F
1 2 1
direct
0.0000 0.0000 0.0000 Ba
0.2500 0.2500 0.2500 V
0.7500 0.7500 0.7500 V
0.5000 0.5000 0.5000 F
```

Output
* M_tot: 2.32 μB per atom
* Fermi-level density of states: 0.8517 states/eV/atom
* E above lowest polymorph: 0.8664 eV/atom